# Tl2VTc

Crystalline Tl2VTc at its relaxed geometry (PBE, Alexandria).

Results
- Calculated volume: 75.2 Å³ per cell
- M_tot: 1.06 μB/f.u.
- Symmetry: No. 225
- Energy of formation: 16.6 kcal/mol of atoms

Lattice parameters (Å, degrees): 4.7381 4.7381 4.7381 60.00 60.00 60.00
With the nearest neighbours (Å) after each atom.
Positions (direct):
Tl  0.2500  0.2500  0.2500  4 Tc 2.90, 4 V 2.90
Tl  0.7500  0.7500  0.7500  4 Tc 2.90, 4 V 2.90
Tc  0.5000  0.5000  0.5000  8 Tl 2.90
V  0.0000  0.0000  0.0000  8 Tl 2.90